[1]
Below is a relaxed structure of Sc6ZnOs5, with properties calculated at the PBE-GGA level.

Calculated values
The value obtained for the formation energy is -0.39 eV per atom. The value obtained for the total energy is -8.343 eV per atom.

Structure (CIF):
```
data_Sc6ZnOs5
_symmetry_space_group_name_H-M 'P 1'
_symmetry_Int_Tables_number 1
_cell_length_a 7.8964
_cell_length_b 7.8964
_cell_length_c 7.8964
_cell_angle_alpha 146.36
_cell_angle_beta 131.28
_cell_angle_gamma 60.51
loop_
_symmetry_equiv_pos_as_xyz
'x,y,z'
loop_
_atom_site_label
_atom_site_type_symbol
_atom_site_fract_x
_atom_site_fract_y
_atom_site_fract_z
Sc1 Sc 0.0736 0.3293 0.7442
Sc2 Sc 0.2385 0.0000 0.2385
Sc3 Sc 0.4149 0.6707 0.7442
Sc4 Sc 0.5851 0.3293 0.2558
Sc5 Sc 0.7615 0.0000 0.7615
Sc6 Sc 0.9264 0.6707 0.2558
Zn1 Zn 0.5000 0.5000 0.0000
Os1 Os 0.0000 0.5000 0.5000
Os2 Os 0.1665 0.1665 0.0000
Os3 Os 0.3366 0.8366 0.5000
Os4 Os 0.6634 0.1634 0.5000
Os5 Os 0.8335 0.8335 0.0000
```



[2]
Below is a relaxed structure of Ac3SbPbO, with properties calculated at the PBE-GGA level.

Calculated values
The value obtained for the uncorrected formation energy is -1.50 eV per atom. The value obtained for the total energy is -5.689 eV per atom.

Structure (CIF):
```
data_Ac3SbPbO
_symmetry_space_group_name_H-M 'P 1'
_symmetry_Int_Tables_number 1
_cell_length_a 9.9244
_cell_length_b 4.5366
_cell_length_c 10.1010
_cell_angle_alpha 90.00
_cell_angle_beta 99.59
_cell_angle_gamma 90.00
loop_
_symmetry_equiv_pos_as_xyz
'x,y,z'
loop_
_atom_site_label
_atom_site_type_symbol
_atom_site_fract_x
_atom_site_fract_y
_atom_site_fract_z
Ac1 Ac 0.0096 0.2500 0.1544
Ac2 Ac 0.3343 0.7500 0.5960
Ac3 Ac 0.3439 0.7500 0.1063
Ac4 Ac 0.6561 0.2500 0.8937
Ac5 Ac 0.6657 0.2500 0.4040
Ac6 Ac 0.9904 0.7500 0.8456
Sb1 Sb 0.3264 0.2500 0.3523
Sb2 Sb 0.6736 0.7500 0.6477
Pb1 Pb 0.2810 0.2500 0.8362
Pb2 Pb 0.7190 0.7500 0.1638
O1 O 0.0893 0.7500 0.0814
O2 O 0.9107 0.2500 0.9186
```